## Hf2CdB (GGA-PBE)

Data for a relaxed structure of Hf2CdB.

abc: 4.692 4.692 4.692
angles: 60.00 60.00 60.00
Each line ends with the local moment (μB).
Element x y z (fractional)
B 0.500 0.500 0.500  -0.02
Cd 0.250 0.250 0.250  0.02
Hf 0.000 0.000 0.000  0.63
Hf 0.750 0.750 0.750  0.54

Raw total energy = -5.801 eV/atom
Mass density = 10.9 Mg/m³
Space group = F-43m (216)
E above lowest polymorph = 1357.7 meV per atom
Magnetic moment = 1.57 μB/cell